This record from the Alexandria database describes a relaxed CsAcVO4 crystal. The functional is PBE+U.

The structure in POSCAR format:
```
CsAcVO4
1.0
-0.7918 -0.8684 -6.3202
-4.6519 -3.8791 1.1158
-4.7762 6.2966 1.9773
Cs Ac V O
2 2 2 8
Cartesian
-8.4731 2.2991 -1.8361
-1.7468 -0.7500 -1.3910
-6.2481 -0.7929 -3.3087
-3.9718 2.3419 0.0816
-5.3580 -0.9549 -0.1613
-4.8619 2.5040 -3.0659
-6.1372 1.5457 -4.0775
-6.1727 -1.7395 1.3517
-4.0827 0.0033 0.8504
-4.0472 3.2885 -4.5788
-4.7869 -2.0178 -1.4750
-5.4330 3.5668 -1.7521
-6.4951 0.2188 -0.8214
-3.7248 1.3303 -2.4057
```

Output
- symmetry = P2_1/m, No. 11

***

This record from the Alexandria database describes a relaxed Cs4Ac3VO8 crystal. The functional is PBE+U.

The structure in POSCAR format:
```
Cs4Ac3VO8
1.0
7.3688 0.0000 0.0000
0.0000 8.0055 0.5056
-3.6844 -3.6312 5.8469
Cs Ac V O
4 3 1 8
Cartesian
3.6844 0.0000 0.0000
1.8422 -1.8156 2.9235
0.0000 0.0000 0.0000
-1.8422 -1.8156 2.9235
3.6844 4.0028 0.2528
1.8422 2.1871 3.1763
-1.8422 2.1871 3.1763
0.0000 4.0028 0.2528
-2.1974 1.7128 5.7874
0.0000 3.7455 3.6385
0.0000 0.4872 3.5767
2.1974 1.7128 5.7874
1.4870 2.6615 0.5652
3.6844 3.8871 2.7758
3.6844 0.6287 2.7140
5.8818 2.6615 0.5652
```

Output
- D(E_F) (states/eV per cell) = 0.0
- symmetry = C2/m, No. 12

***

This record from the Alexandria database describes a relaxed Cs2AcV2O7 crystal. The functional is PBE+U.

The structure in POSCAR format:
```
Cs2AcV2O7
1.0
-3.7902 -0.4462 -1.1631
0.2678 -3.9297 0.6347
-5.4429 -0.6119 11.1002
Cs Ac V O
2 1 2 7
Cartesian
-4.8659 -3.7964 3.6271
-4.0994 -1.1914 6.9446
0.0000 0.0000 0.0000
-6.5789 -3.0680 8.9049
-2.3865 -1.9198 1.6669
-1.7612 -2.1879 -0.2642
-2.9140 -1.6906 3.3016
-6.0513 -3.2972 7.2701
-4.2125 -2.1709 0.8763
-2.1841 -3.9122 1.7749
-6.7813 -1.0756 8.7969
-4.7528 -2.8169 9.6955
```

Output
- D(E_F) (states/eV per cell) = 2.6
- symmetry = I4/mmm, No. 139

***

This record from the Alexandria database describes a relaxed CsAcW2O8 crystal. The functional is PBE+U.

The structure in POSCAR format:
```
CsAcW2O8
1.0
-3.3879 -2.6525 -4.0590
0.0112 -5.8967 -0.4659
-8.0622 -3.3459 4.6058
Cs Ac W O
1 1 2 8
Cartesian
0.0000 0.0000 0.0000
-5.7195 -5.9476 0.0405
-8.4697 -8.9135 -0.0358
-2.9693 -2.9816 0.1168
-9.8060 -9.0091 1.1420
-1.6329 -2.8860 -1.0611
-4.3419 -3.9565 -0.5957
-7.8865 -7.1852 -0.1578
-5.6706 -6.8218 2.3857
-3.5478 -7.1928 0.0426
-5.7658 -6.4428 -2.4130
-7.1044 -4.0863 0.9810
```

Output
- D(E_F) (states/eV per cell) = 0.0
- symmetry = R32, No. 155

***

This record from the Alexandria database describes a relaxed Cs2AcWO6 crystal. The functional is PBE+U.

The structure in POSCAR format:
```
Cs2AcWO6
1.0
-3.2838 -4.8357 -2.6030
5.7617 -3.8471 -0.1214
-4.1567 -0.1603 5.5415
Cs Ac W O
2 1 1 6
Cartesian
-1.1327 -1.8047 3.4302
-0.5461 -7.0385 -0.6132
-1.6419 -2.4179 -1.3015
0.0000 0.0000 0.0000
-2.9893 -4.4548 -0.7005
-5.5430 -4.5533 2.7039
-2.0033 -6.9168 2.6293
3.8641 -4.2899 0.1131
0.3245 -1.9264 0.1877
1.3105 -4.3883 3.5175
```

Output
- D(E_F) (states/eV per cell) = 2.5
- symmetry = P-3m1, No. 164

***

This record from the Alexandria database describes a relaxed CsAc2WO6 crystal. The functional is PBE+U.

The structure in POSCAR format:
```
CsAc2WO6
1.0
6.2260 0.0103 -0.0065
3.1227 5.4289 -0.0573
3.1098 1.7582 5.6470
Cs Ac W O
1 2 1 6
Cartesian
9.3214 5.4214 3.7664
6.1930 3.6100 2.3363
3.1216 1.7820 5.5456
3.0951 1.8192 0.0619
4.9008 1.8970 1.1063
5.5163 5.6016 1.0249
8.4148 3.2258 1.0773
6.5753 5.1355 4.3514
7.3286 2.5409 4.3928
4.7095 3.1393 4.3610
```

Output
- D(E_F) (states/eV per cell) = 0.0
- symmetry = P1, No. 1

***

Number 1: total energy -7.03 eV per atom. Number 2: total energy -6.12 eV per atom. Number 3: total energy -6.84 eV per atom. Number 4: total energy -7.27 eV per atom. Number 5: total energy -6.34 eV per atom. Number 6: total energy -7.22 eV per atom.